Record 1
Density functional theory data (PBE-GGA) for PaPbS3 after structural relaxation.

As for the crystal system: monoclinic. The density of states at the Fermi level is 15.28 states/eV per cell. The value obtained for the energy above the most stable polymorph in this dataset is 43 meV/atom.

The space group is C2/m (No. 12) and the conventional cell measures 17.2934, 3.9323 and 9.5461 Å, with angles of 90.00, 109.76 and 90.00 degrees. The distinct sites, in fractional coordinates, are Pa at (0.1479, 0.0000, 0.3429), Pb at (0.1406, 0.5000, 0.8655), S at (0.0404, 0.5000, 0.2247), S at (0.1794, 0.0000, 0.0796) and S at (0.1847, 0.5000, 0.5616).

---

Record 2
Density functional theory data (PBE-GGA) for PaPbS4 after structural relaxation.

As for the crystal system: orthorhombic. The density of states at the Fermi level is 6.80 states/eV per cell. The value obtained for the energy above the most stable polymorph in this dataset is 0 meV/atom.

The space group is Cmmm (No. 65) and the conventional cell measures 8.9039, 9.1860 and 4.1842 Å, with angles of 90.00, 90.00 and 90.00 degrees. The distinct sites, in fractional coordinates, are Pa at (0.0000, 0.0000, 0.0000), Pb at (0.0000, 0.5000, 0.5000), S at (0.0000, 0.1799, 0.5000) and S at (0.2070, 0.5000, 0.0000).

---

Record 3
Density functional theory data (PBE-GGA) for Pa2Pb3S8 after structural relaxation.

As for the crystal system: monoclinic. For the total energy, the calculation gives -5.893 eV per atom.

The space group is C2/m (No. 12) and the conventional cell measures 14.3480, 8.3018 and 6.9420 Å, with angles of 90.00, 108.86 and 90.00 degrees. The distinct sites, in fractional coordinates, are Pa at (0.2442, 0.0000, 0.4679), Pb at (0.0000, 0.2446, 0.5000), Pb at (0.0000, 0.5000, 0.0000), S at (0.1362, 0.5000, 0.7418), S at (0.1387, 0.0000, 0.6986) and S at (0.1448, 0.2701, 0.2817).

---

no.,calculated density (g cm⁻³)
1,5.8
2,5.5
3,5.7